Entry 1:
Computed, not measured: NdMg2I6 after structural relaxation at the PBE-GGA level of DFT.

The structure belongs to space group R3 (No. 146, hexagonal axes); the cell edges are 8.0341, 8.0341 and 23.9547 Å and the angles 90.00°, 90.00° and 120.00°. Symmetry generates all atoms from Nd at (0.0000, 0.0000, 0.0000), Mg at (0.0000, 0.0000, 0.2704), Mg at (0.0000, 0.0000, 0.3934), I at (0.0068, 0.6946, 0.9180) and I at (0.0096, 0.3128, 0.0822).

Its crystal system is trigonal. As for the total energy: -2.908 eV/atom.


Entry 2:
Computed, not measured: RbNdMgI6 after structural relaxation at the PBE-GGA level of DFT.

The structure belongs to space group P-31c (No. 163); the cell edges are 7.8927, 7.8927 and 16.3539 Å and the angles 90.00°, 90.00° and 120.00°. Symmetry generates all atoms from Rb at (0.0000, 0.0000, 0.0000), Nd at (0.3333, 0.6667, 0.2500), Mg at (0.3333, 0.6667, 0.7500) and I at (0.0166, 0.3796, 0.6426).

Its crystal system is trigonal. As for the total energy: -3.151 eV/atom. The calculation puts the density of states at the Fermi level at 0.00 states/eV/cell.


Entry 3:
Computed, not measured: NdMgTlI6 after structural relaxation at the PBE-GGA level of DFT.

The structure belongs to space group P-31c (No. 163); the cell edges are 7.8589, 7.8589 and 15.2063 Å and the angles 90.00°, 90.00° and 120.00°. Symmetry generates all atoms from Nd at (0.3333, 0.6667, 0.2500), Mg at (0.3333, 0.6667, 0.7500), Tl at (0.0000, 0.0000, 0.0000) and I at (0.0170, 0.3761, 0.6350).

Its crystal system is trigonal. As for the total energy: -3.110 eV/atom. The calculation puts the density of states at the Fermi level at 0.00 states/eV/cell.


Entry 4:
Computed, not measured: Mg2NiI6 after structural relaxation at the PBE-GGA level of DFT.

The structure belongs to space group P-31m (No. 162); the cell edges are 7.1413, 7.1413 and 7.6068 Å and the angles 90.00°, 90.00° and 120.00°. Symmetry generates all atoms from Mg at (0.3333, 0.6667, 0.0000), Ni at (0.0000, 0.0000, 0.0000) and I at (0.0000, 0.3169, 0.2130).

Its crystal system is trigonal. As for the total energy: -2.738 eV/atom.


Entry 5:
Computed, not measured: MgNi3I after structural relaxation at the PBE-GGA level of DFT.

The structure belongs to space group Pm-3m (No. 221); the cell edges are 4.631, 4.631 and 4.631 Å and the angles 90.00°, 90.00° and 90.00°. Symmetry generates all atoms from Mg at (0.000, 0.000, 0.000), Ni at (0.000, 0.500, 0.500) and I at (0.500, 0.500, 0.500).

Its crystal system is cubic. As for the total energy: -3.293 eV/atom. The calculation puts the density of states at the Fermi level at 2.03 states/eV/cell.